*1*
An optimized crystal structure of SbAs2HSe, computed with GGA-PBE.

```
data_SbAs2HSe
_chemical_formula_sum 'Sb1 As2 H1 Se1'
_symmetry_space_group_name_H-M 'P 1'
_symmetry_Int_Tables_number 1
_cell_length_a 4.0843
_cell_length_b 4.0843
_cell_length_c 5.6486
_cell_angle_alpha 90.00
_cell_angle_beta 90.00
_cell_angle_gamma 90.00
loop_
_symmetry_equiv_pos_as_xyz
'x,y,z'
loop_
_atom_site_label
_atom_site_fract_x
_atom_site_fract_y
_atom_site_fract_z
Sb1 0.5000 0.5000 0.5000
As1 0.5000 0.0000 0.0000
As2 0.0000 0.5000 0.0000
H1 0.0000 0.0000 0.0000
Se1 0.0000 0.0000 0.5000
```


*2*
An optimized crystal structure of SbAs2HSe, computed with GGA-PBE.

```
data_SbAs2HSe
_chemical_formula_sum 'Sb1 As2 H1 Se1'
_symmetry_space_group_name_H-M 'P 1'
_symmetry_Int_Tables_number 1
_cell_length_a 5.3927
_cell_length_b 5.3927
_cell_length_c 5.4322
_cell_angle_alpha 90.00
_cell_angle_beta 90.00
_cell_angle_gamma 90.00
loop_
_symmetry_equiv_pos_as_xyz
'x,y,z'
loop_
_atom_site_label
_atom_site_fract_x
_atom_site_fract_y
_atom_site_fract_z
Sb1 0.0000 0.0000 0.0000
Se1 0.0000 0.0000 0.5000
H1 0.5000 0.5000 0.5000
As1 0.5000 0.0000 0.0000
As2 0.0000 0.5000 0.0000
```


Least stable structure: *2*


*1*
An optimized crystal structure of Sb2TeAsH, computed with GGA-PBE.

```
data_Sb2TeAsH
_chemical_formula_sum 'Sb2 Te1 As1 H1'
_symmetry_space_group_name_H-M 'P 1'
_symmetry_Int_Tables_number 1
_cell_length_a 5.4138
_cell_length_b 5.4138
_cell_length_c 5.6086
_cell_angle_alpha 90.00
_cell_angle_beta 90.00
_cell_angle_gamma 90.00
loop_
_symmetry_equiv_pos_as_xyz
'x,y,z'
loop_
_atom_site_label
_atom_site_fract_x
_atom_site_fract_y
_atom_site_fract_z
As1 0.0000 0.0000 0.0000
Sb1 0.5000 0.0000 0.0000
Te1 0.0000 0.0000 0.5000
H1 0.5000 0.5000 0.5000
Sb2 0.0000 0.5000 0.0000
```


*2*
An optimized crystal structure of Sb2TeAsH, computed with GGA-PBE.

```
data_Sb2TeAsH
_chemical_formula_sum 'Sb2 Te1 As1 H1'
_symmetry_space_group_name_H-M 'P 1'
_symmetry_Int_Tables_number 1
_cell_length_a 4.4405
_cell_length_b 4.4405
_cell_length_c 5.4876
_cell_angle_alpha 90.00
_cell_angle_beta 90.00
_cell_angle_gamma 90.00
loop_
_symmetry_equiv_pos_as_xyz
'x,y,z'
loop_
_atom_site_label
_atom_site_fract_x
_atom_site_fract_y
_atom_site_fract_z
Sb1 0.5000 0.0000 0.0000
H1 0.0000 0.0000 0.0000
Te1 0.0000 0.0000 0.5000
As1 0.5000 0.5000 0.5000
Sb2 0.0000 0.5000 0.0000
```


Least stable structure: *1*


*1*
An optimized crystal structure of Sc2AsH, computed with GGA-PBE.

```
data_Sc2AsH
_chemical_formula_sum 'Sc2 As1 H1'
_symmetry_space_group_name_H-M 'P 1'
_symmetry_Int_Tables_number 1
_cell_length_a 3.6209
_cell_length_b 3.6207
_cell_length_c 6.6019
_cell_angle_alpha 74.09
_cell_angle_beta 90.00
_cell_angle_gamma 60.00
loop_
_symmetry_equiv_pos_as_xyz
'x,y,z'
loop_
_atom_site_label
_atom_site_fract_x
_atom_site_fract_y
_atom_site_fract_z
Sc1 0.4028 0.1678 0.0496
As1 0.9729 0.0278 0.7600
Sc2 0.2180 0.5374 0.4948
H1 0.1107 0.7516 0.1741
```


*2*
An optimized crystal structure of Sc2AsH, computed with GGA-PBE.

```
data_Sc2AsH
_chemical_formula_sum 'Sc2 As1 H1'
_symmetry_space_group_name_H-M 'P 1'
_symmetry_Int_Tables_number 1
_cell_length_a 4.5217
_cell_length_b 4.5217
_cell_length_c 4.5217
_cell_angle_alpha 60.00
_cell_angle_beta 60.00
_cell_angle_gamma 60.00
loop_
_symmetry_equiv_pos_as_xyz
'x,y,z'
loop_
_atom_site_label
_atom_site_fract_x
_atom_site_fract_y
_atom_site_fract_z
Sc1 0.2500 0.2500 0.2500
H1 0.0000 0.0000 0.0000
As1 0.5000 0.5000 0.5000
Sc2 0.7500 0.7500 0.7500
```


Least stable structure: *2*


*1*
An optimized crystal structure of Sc2AsH, computed with GGA-PBE.

```
data_Sc2AsH
_chemical_formula_sum 'Sc2 As1 H1'
_symmetry_space_group_name_H-M 'P 1'
_symmetry_Int_Tables_number 1
_cell_length_a 3.6249
_cell_length_b 3.6249
_cell_length_c 6.8343
_cell_angle_alpha 74.62
_cell_angle_beta 74.62
_cell_angle_gamma 60.00
loop_
_symmetry_equiv_pos_as_xyz
'x,y,z'
loop_
_atom_site_label
_atom_site_fract_x
_atom_site_fract_y
_atom_site_fract_z
Sc1 0.0978 0.0978 0.7067
H1 0.4587 0.4587 0.6239
Sc2 0.2658 0.2658 0.2027
As1 0.6778 0.6778 0.9667
```


*2*
An optimized crystal structure of Sc2AsH, computed with GGA-PBE.

```
data_Sc2AsH
_chemical_formula_sum 'Sc2 As1 H1'
_symmetry_space_group_name_H-M 'P 1'
_symmetry_Int_Tables_number 1
_cell_length_a 6.7936
_cell_length_b 6.7936
_cell_length_c 6.7936
_cell_angle_alpha 34.42
_cell_angle_beta 34.42
_cell_angle_gamma 34.42
loop_
_symmetry_equiv_pos_as_xyz
'x,y,z'
loop_
_atom_site_label
_atom_site_fract_x
_atom_site_fract_y
_atom_site_fract_z
Sc1 0.0995 0.0995 0.0995
As1 0.5000 0.5000 0.5000
Sc2 0.9005 0.9005 0.9005
H1 0.0000 0.0000 0.0000
```


Least stable structure: *2*


*1*
An optimized crystal structure of Sc2AsH, computed with GGA-PBE.

```
data_Sc2AsH
_chemical_formula_sum 'Sc4 As2 H2'
_symmetry_space_group_name_H-M 'P 1'
_symmetry_Int_Tables_number 1
_cell_length_a 6.3417
_cell_length_b 6.3417
_cell_length_c 5.4942
_cell_angle_alpha 54.75
_cell_angle_beta 54.75
_cell_angle_gamma 90.00
loop_
_symmetry_equiv_pos_as_xyz
'x,y,z'
loop_
_atom_site_label
_atom_site_fract_x
_atom_site_fract_y
_atom_site_fract_z
As1 0.7500 0.2500 0.5000
H1 0.5000 0.5000 0.0000
H2 0.2500 0.7500 0.5000
Sc1 0.5498 0.1250 0.2500
Sc2 0.2002 0.6250 0.2500
Sc3 0.8750 0.7998 0.7500
As2 0.0000 0.0000 0.0000
Sc4 0.3750 0.4502 0.7500
```


*2*
An optimized crystal structure of Sc2AsH, computed with GGA-PBE.

```
data_Sc2AsH
_chemical_formula_sum 'Sc2 As1 H1'
_symmetry_space_group_name_H-M 'P 1'
_symmetry_Int_Tables_number 1
_cell_length_a 8.0564
_cell_length_b 8.0564
_cell_length_c 8.0564
_cell_angle_alpha 23.32
_cell_angle_beta 23.32
_cell_angle_gamma 23.32
loop_
_symmetry_equiv_pos_as_xyz
'x,y,z'
loop_
_atom_site_label
_atom_site_fract_x
_atom_site_fract_y
_atom_site_fract_z
As1 0.0000 0.0000 0.0000
H1 0.5000 0.5000 0.5000
Sc1 0.8860 0.8860 0.8860
Sc2 0.1140 0.1140 0.1140
```


Least stable structure: *2*


*1*
An optimized crystal structure of ScAs3H, computed with GGA-PBE.

```
data_ScAs3H
_chemical_formula_sum 'Sc1 As3 H1'
_symmetry_space_group_name_H-M 'P 1'
_symmetry_Int_Tables_number 1
_cell_length_a 5.1015
_cell_length_b 5.1015
_cell_length_c 5.1015
_cell_angle_alpha 90.00
_cell_angle_beta 90.00
_cell_angle_gamma 90.00
loop_
_symmetry_equiv_pos_as_xyz
'x,y,z'
loop_
_atom_site_label
_atom_site_fract_x
_atom_site_fract_y
_atom_site_fract_z
Sc1 0.0000 0.0000 0.0000
As1 0.0000 0.5000 0.0000
As2 0.5000 0.0000 0.0000
H1 0.5000 0.5000 0.5000
As3 0.0000 0.0000 0.5000
```


*2*
An optimized crystal structure of ScAs3H, computed with GGA-PBE.

```
data_ScAs3H
_chemical_formula_sum 'Sc1 As3 H1'
_symmetry_space_group_name_H-M 'P 1'
_symmetry_Int_Tables_number 1
_cell_length_a 4.3063
_cell_length_b 4.3063
_cell_length_c 4.3063
_cell_angle_alpha 90.00
_cell_angle_beta 90.00
_cell_angle_gamma 90.00
loop_
_symmetry_equiv_pos_as_xyz
'x,y,z'
loop_
_atom_site_label
_atom_site_fract_x
_atom_site_fract_y
_atom_site_fract_z
As1 0.0000 0.0000 0.5000
H1 0.0000 0.0000 0.0000
As2 0.5000 0.0000 0.0000
As3 0.0000 0.5000 0.0000
Sc1 0.5000 0.5000 0.5000
```


Least stable structure: *1*